[1]
Computed, not measured: crystalline RbNaHRu2 at its relaxed geometry at the PBE level of DFT.

Results
Energy = -12.8 eV/f.u.
Total magnetization = 3.50 μB per formula unit
Calculated density = 4.23 g/cm3

```
data_RbNaHRu2
_cell_length_a 5.028
_cell_length_b 5.028
_cell_length_c 4.836
_cell_angle_alpha 90.00
_cell_angle_beta 90.00
_cell_angle_gamma 90.00
_symmetry_space_group_name_H-M 'P 4/m m m'
_symmetry_Int_Tables_number 123
_symmetry_space_group_name_Hall '-P 4 2'
loop_
_atom_site_label
_atom_site_fract_x
_atom_site_fract_y
_atom_site_fract_z
Rb1 0.000 0.000 0.000
Na1 0.500 0.500 0.500
H1 0.000 0.000 0.500
Ru1 0.000 0.500 0.000
```

---

[2]
Computed, not measured: crystalline ThPbAu at its relaxed geometry at the PBE level of DFT.

Results
Energy = -15.4 eV/f.u.
Total magnetization = 0.00 μB per formula unit
Calculated density = 13.13 g/cm3

```
data_ThPbAu
_cell_length_a 4.9968
_cell_length_b 4.9968
_cell_length_c 7.4403
_cell_angle_alpha 90.00
_cell_angle_beta 90.00
_cell_angle_gamma 120.00
_symmetry_space_group_name_H-M 'P -3 m 1'
_symmetry_Int_Tables_number 164
_symmetry_space_group_name_Hall '-P 3 2"'
loop_
_atom_site_label
_atom_site_fract_x
_atom_site_fract_y
_atom_site_fract_z
Th1 0.0000 0.0000 0.2138
Pb1 0.3333 0.6667 0.4448
Au1 0.3333 0.6667 0.0026
```

---

[3]
Computed, not measured: crystalline Tb5Np3N8 at its relaxed geometry at the PBE level of DFT.

Results
Energy = -151.8 eV/f.u.
Total magnetization = 9.40 μB per formula unit
Calculated density = 11.35 g/cm3

```
data_Tb5Np3N8
_cell_length_a 6.9404
_cell_length_b 6.9404
_cell_length_c 17.0225
_cell_angle_alpha 90.00
_cell_angle_beta 90.00
_cell_angle_gamma 120.00
_symmetry_space_group_name_H-M 'R -3 m'
_symmetry_Int_Tables_number 166
_symmetry_space_group_name_Hall '-R 3 2"'
loop_
_atom_site_label
_atom_site_fract_x
_atom_site_fract_y
_atom_site_fract_z
Tb1 0.0000 0.0000 0.0000
Tb2 0.0000 0.0000 0.5000
Tb3 0.0000 0.5000 0.0000
Np1 0.0000 0.5000 0.5000
N1 0.0000 0.0000 0.2464
N2 0.0087 0.5044 0.7545
```

---

[4]
Computed, not measured: crystalline LiZn7Au4 at its relaxed geometry at the PBE level of DFT.

Results
Energy = -26.3 eV/f.u.
Total magnetization = 0.00 μB per formula unit
Calculated density = 10.67 g/cm3

```
data_LiZn7Au4
_cell_length_a 5.118
_cell_length_b 5.587
_cell_length_c 7.164
_cell_angle_alpha 107.33
_cell_angle_beta 90.81
_cell_angle_gamma 94.02
_symmetry_space_group_name_H-M 'P -1'
_symmetry_Int_Tables_number 2
loop_
_symmetry_equiv_pos_as_xyz
'x,y,z'
'-x,-y,-z'
loop_
_atom_site_label
_atom_site_fract_x
_atom_site_fract_y
_atom_site_fract_z
Li1 0.000 0.000 0.000
Zn1 0.124 0.798 0.407
Zn2 0.256 0.478 0.064
Zn3 0.322 0.281 0.371
Zn4 0.500 0.000 0.000
Au1 0.171 0.628 0.732
Au2 0.384 0.145 0.709
```

---

[5]
Computed, not measured: crystalline Pr3Y6ErTm2 at its relaxed geometry at the PBE level of DFT.

Results
Energy = -66.3 eV/f.u.
Total magnetization = 0.00 μB per formula unit
Calculated density = 6.19 g/cm3

```
data_Pr3Y6ErTm2
_cell_length_a 6.225
_cell_length_b 10.776
_cell_length_c 11.860
_cell_angle_alpha 90.00
_cell_angle_beta 100.05
_cell_angle_gamma 90.00
_symmetry_space_group_name_H-M 'C 1 2/m 1'
_symmetry_Int_Tables_number 12
loop_
_symmetry_equiv_pos_as_xyz
'x,y,z'
'-x,-y,-z'
'-x,y,-z'
'x,-y,z'
'x+1/2,y+1/2,z'
'-x+1/2,-y+1/2,-z'
'-x+1/2,y+1/2,-z'
'x+1/2,-y+1/2,z'
loop_
_atom_site_label
_atom_site_fract_x
_atom_site_fract_y
_atom_site_fract_z
Pr1 0.000 0.000 0.000
Pr2 0.000 0.333 0.000
Y1 0.248 0.000 0.745
Y2 0.248 0.333 0.745
Er1 0.000 0.500 0.500
Tm1 0.000 0.167 0.500
```

---

[6]
Computed, not measured: crystalline Rb2AgI at its relaxed geometry at the PBE level of DFT.

Results
Energy = -9.0 eV/f.u.
Total magnetization = 0.00 μB per formula unit
Calculated density = 3.89 g/cm3

```
data_Rb2AgI
_cell_length_a 4.424
_cell_length_b 4.424
_cell_length_c 8.854
_cell_angle_alpha 90.00
_cell_angle_beta 90.00
_cell_angle_gamma 90.00
_symmetry_space_group_name_H-M 'P 4/m m m'
_symmetry_Int_Tables_number 123
_symmetry_space_group_name_Hall '-P 4 2'
loop_
_atom_site_label
_atom_site_fract_x
_atom_site_fract_y
_atom_site_fract_z
Rb1 0.000 0.000 0.250
Ag1 0.500 0.500 0.000
I1 0.500 0.500 0.500
```

---

[7]
Computed, not measured: crystalline V2CuPd8 at its relaxed geometry at the PBE level of DFT.

Results
Energy = -65.9 eV/f.u.
Total magnetization = 2.17 μB per formula unit
Calculated density = 10.37 g/cm3

```
data_V2CuPd8
_cell_length_a 13.905
_cell_length_b 3.937
_cell_length_c 6.182
_cell_angle_alpha 90.00
_cell_angle_beta 105.83
_cell_angle_gamma 90.00
_symmetry_space_group_name_H-M 'C 1 2/m 1'
_symmetry_Int_Tables_number 12
loop_
_symmetry_equiv_pos_as_xyz
'x,y,z'
'-x,-y,-z'
'-x,y,-z'
'x,-y,z'
'x+1/2,y+1/2,z'
'-x+1/2,-y+1/2,-z'
'-x+1/2,y+1/2,-z'
'x+1/2,-y+1/2,z'
loop_
_atom_site_label
_atom_site_fract_x
_atom_site_fract_y
_atom_site_fract_z
V1 0.224 0.000 0.150
Cu1 0.000 0.500 0.500
Pd1 0.045 0.000 0.231
Pd2 0.099 0.500 0.959
Pd3 0.145 0.000 0.700
Pd4 0.180 0.500 0.416
```

---

[8]
Computed, not measured: crystalline ErSnHgCl6 at its relaxed geometry at the PBE level of DFT.

Results
Energy = -32.2 eV/f.u.
Total magnetization = 0.39 μB per formula unit
Calculated density = 3.10 g/cm3

```
data_ErSnHgCl6
_cell_length_a 6.9019
_cell_length_b 6.9019
_cell_length_c 9.0688
_cell_angle_alpha 90.00
_cell_angle_beta 90.00
_cell_angle_gamma 120.00
_symmetry_space_group_name_H-M 'P 3 1 2'
_symmetry_Int_Tables_number 149
loop_
_symmetry_equiv_pos_as_xyz
'x,y,z'
'-y,x-y,z'
'-x+y,-x,z'
'-y,-x,-z'
'-x+y,y,-z'
'x,x-y,-z'
loop_
_atom_site_label
_atom_site_fract_x
_atom_site_fract_y
_atom_site_fract_z
Er1 0.0000 0.0000 0.0000
Sn1 0.6667 0.3333 0.0000
Hg1 0.3333 0.6667 0.5000
Cl1 0.3308 0.0371 0.1661
```

---

- Look up the calculated density of the third one.
  11.35 g/cm3

---

- Number 8 is which compound?
  ErSnHgCl6

---

- Among the records above, which one has the highest total magnetization?
  Tb5Np3N8